[1]
Material: NbZn3Bi
Method: DFT, PBE
State: relaxed

Cell: 5.014 5.014 5.014 Å, 90.00 90.00 90.00°
Space group Pm-3m (No. 221)
One atom of each set of equivalent atoms:
1 Nb 0.000 0.000 0.000 (multiplicity 1)
2 Zn 0.000 0.000 0.500 (multiplicity 3)
3 Bi 0.500 0.500 0.500 (multiplicity 1)

## Properties
final energy = -2.71 eV/atom
E above lowest polymorph = 0.000 eV per atom
formation enthalpy at 0 K = 0.847 eV/atom

[2]
Material: Al2TlW
Method: DFT, PBE
State: relaxed

Cell: 2.928 2.928 8.956 Å, 90.00 90.00 90.00°
Space group P4/mmm (No. 123)
One atom of each set of equivalent atoms:
1 Al 0.000 0.000 0.206 (multiplicity 2)
2 Tl 0.500 0.500 0.500 (multiplicity 1)
3 W 0.500 0.500 0.000 (multiplicity 1)

## Properties
final energy = -5.40 eV/atom
E above lowest polymorph = 0.018 eV per atom
formation enthalpy at 0 K = 0.303 eV/atom

[3]
Material: Tl5AuI8
Method: DFT, PBE
State: relaxed

Cell: 10.303 10.303 11.577 Å, 90.00 90.00 90.00°
Space group I-4 (No. 82)
One atom of each set of equivalent atoms:
1 Tl 0.000 0.000 0.000 (multiplicity 2)
2 Tl 0.123 0.274 0.390 (multiplicity 8)
3 Au 0.000 0.500 0.750 (multiplicity 2)
4 I 0.049 0.246 0.731 (multiplicity 8)
5 I 0.084 0.305 0.099 (multiplicity 8)

## Properties
final energy = -2.41 eV/atom
E_form (uncorrected) = -0.441 eV per atom

[4]
Material: YBIr2I
Method: DFT, PBE
State: relaxed

Cell: 5.143 5.143 5.922 Å, 90.00 90.00 90.00°
Space group P4/mmm (No. 123)
One atom of each set of equivalent atoms:
1 Y 0.000 0.000 0.000 (multiplicity 1)
2 B 0.500 0.500 0.500 (multiplicity 1)
3 Ir 0.000 0.500 0.000 (multiplicity 2)
4 I 0.000 0.000 0.500 (multiplicity 1)

## Properties
final energy = -4.30 eV/atom
E_form (uncorrected) = 2.181 eV per atom

[5]
Material: GeTeAs2Br
Method: DFT, PBE
State: relaxed

Cell: 5.399 5.399 5.403 Å, 90.00 90.00 90.00°
Space group P4/mmm (No. 123)
One atom of each set of equivalent atoms:
1 Ge 0.000 0.000 0.000 (multiplicity 1)
2 Te 0.500 0.500 0.500 (multiplicity 1)
3 As 0.000 0.500 0.500 (multiplicity 2)
4 Br 0.500 0.500 0.000 (multiplicity 1)

## Properties
final energy = -2.85 eV/atom
E above lowest polymorph = 0.357 eV per atom
E_form (uncorrected) = 0.896 eV per atom

[6]
Material: Cu12GeAu3
Method: DFT, PBE
State: relaxed

Cell: 3.798 3.798 14.855 Å, 90.00 90.00 90.00°
Space group P4/mmm (No. 123)
One atom of each set of equivalent atoms:
1 Cu 0.000 0.000 0.000 (multiplicity 1)
2 Cu 0.000 0.000 0.245 (multiplicity 2)
3 Cu 0.000 0.000 0.500 (multiplicity 1)
4 Cu 0.000 0.500 0.119 (multiplicity 4)
5 Cu 0.000 0.500 0.373 (multiplicity 4)
6 Ge 0.500 0.500 0.000 (multiplicity 1)
7 Au 0.500 0.500 0.248 (multiplicity 2)
8 Au 0.500 0.500 0.500 (multiplicity 1)

## Properties
final energy = -4.00 eV/atom
formation enthalpy at 0 K = -0.021 eV/atom

[7]
Material: Rb2ZrNi
Method: DFT, PBE
State: relaxed

Cell: 13.347 13.347 4.649 Å, 90.00 90.00 90.00°
Space group I-42d (No. 122)
One atom of each set of equivalent atoms:
1 Rb 0.084 0.750 0.125 (multiplicity 8)
2 Zr 0.000 0.000 0.500 (multiplicity 4)
3 Ni 0.000 0.000 0.000 (multiplicity 4)

## Properties
final energy = -3.13 eV/atom
E above lowest polymorph = 0.000 eV per atom
formation enthalpy at 0 K = 0.938 eV/atom